Entry 1:
Below is a relaxed BaCr3Te crystal, with properties calculated at the PBE-GGA level.

extended XYZ file:
```
5
Lattice="5.3531 0.0000 0.0000 0.0000 5.3531 0.0000 0.0000 0.0000 5.3531" Properties=species:S:1:pos:R:3 pbc="T T T"
Ba 0.0000 0.0000 0.0000
Cr 0.0000 2.6765 2.6765
Cr 2.6765 0.0000 2.6765
Cr 2.6765 2.6765 0.0000
Te 2.6765 2.6765 2.6765
```

## Properties
**Density of states at the Fermi level**: 3.4 states/eV/f.u.
**Theoretical density**: 4.56 g cm⁻³
**Formation energy from raw total energies**: 881 meV/atom
**Total moment**: 12.669 μB per cell
**VASP energy**: -5.906 eV/atom



Entry 2:
Below is a relaxed BaCr2Te crystal, with properties calculated at the PBE-GGA level.

extended XYZ file:
```
4
Lattice="-2.5105 3.2681 3.9524 2.5105 -3.2681 3.9524 2.5105 3.2681 -3.9524" Properties=species:S:1:pos:R:3 pbc="T T T"
Ba 0.0000 0.0000 0.0000
Cr 0.0000 0.0000 3.8390
Cr 0.0000 3.2681 1.4746
Te 2.5105 0.0000 2.5589
```

## Properties
**Density of states at the Fermi level**: 2.4 states/eV/f.u.
**Theoretical density**: 4.72 g cm⁻³
**Formation energy from raw total energies**: 443 meV/atom
**Total moment**: 9.915 μB per cell
**VASP energy**: -5.634 eV/atom



Entry 3:
Below is a relaxed Ba2CrTe crystal, with properties calculated at the PBE-GGA level.

extended XYZ file:
```
8
Lattice="-4.5890 4.5890 4.4387 4.5890 -4.5890 4.4387 4.5890 4.5890 -4.4387" Properties=species:S:1:pos:R:3 pbc="T T T"
Ba 2.2945 2.2127 -1.1097
Ba 2.3763 -2.2945 5.5484
Ba 2.2945 2.3763 3.3290
Ba 2.2127 6.8835 1.1097
Cr 4.5890 0.0000 2.2194
Cr 0.0000 0.0000 4.4387
Te 0.0000 0.0000 0.0000
Te 0.0000 4.5890 2.2194
```

## Properties
**Density of states at the Fermi level**: 1.9 states/eV/f.u.
**Theoretical density**: 4.03 g cm⁻³
**Formation energy from raw total energies**: -113 meV/atom
**Total moment**: 11.696 μB per cell
**VASP energy**: -4.265 eV/atom



Entry 4:
Below is a relaxed BaCr2Te crystal, with properties calculated at the PBE-GGA level.

extended XYZ file:
```
8
Lattice="-2.7237 2.7237 9.2899 2.7237 -2.7237 9.2899 2.7237 2.7237 -9.2899" Properties=species:S:1:pos:R:3 pbc="T T T"
Ba 2.7237 1.3619 2.3225
Ba 0.0000 1.3619 6.9675
Cr 0.0000 0.0000 0.0000
Cr 1.3619 1.3619 -4.6450
Cr 1.3619 -1.3619 4.6450
Cr 0.0000 2.7237 0.0000
Te 2.7237 -1.3619 6.9675
Te 0.0000 4.0856 2.3225
```

## Properties
**Density of states at the Fermi level**: 4.4 states/eV/f.u.
**Theoretical density**: 4.44 g cm⁻³
**Formation energy from raw total energies**: 412 meV/atom
**Total moment**: 16.577 μB per cell
**VASP energy**: -5.666 eV/atom



Entry 5:
Below is a relaxed BaCrTe3 crystal, with properties calculated at the PBE-GGA level.

extended XYZ file:
```
5
Lattice="5.3962 0.0000 0.0000 0.0000 5.3962 0.0000 0.0000 0.0000 5.3962" Properties=species:S:1:pos:R:3 pbc="T T T"
Ba 0.0000 0.0000 0.0000
Cr 2.6981 2.6981 2.6981
Te 0.0000 2.6981 2.6981
Te 2.6981 0.0000 2.6981
Te 2.6981 2.6981 0.0000
```

## Properties
**Density of states at the Fermi level**: 4.1 states/eV/f.u.
**Theoretical density**: 6.05 g cm⁻³
**Formation energy from raw total energies**: -610 meV/atom
**Total moment**: 2.859 μB per cell
**VASP energy**: -4.804 eV/atom



Entry 6:
Below is a relaxed Ba2CrTe crystal, with properties calculated at the PBE-GGA level.

extended XYZ file:
```
4
Lattice="5.8776 0.0000 0.0000 0.0000 5.8776 0.0000 0.0000 0.0000 4.3499" Properties=species:S:1:pos:R:3 pbc="T T T"
Ba 0.0000 2.9388 0.0000
Ba 2.9388 0.0000 0.0000
Cr 0.0000 0.0000 2.1749
Te 2.9388 2.9388 2.1749
```

## Properties
**Density of states at the Fermi level**: 3.3 states/eV/f.u.
**Theoretical density**: 5.02 g cm⁻³
**Formation energy from raw total energies**: -325 meV/atom
**Total moment**: 5.053 μB per cell
**VASP energy**: -4.477 eV/atom